w:
# GaBi2S4

A relaxed structure of GaBi2S4 (PBE, Alexandria).

POSCAR file:
```
GaBi2S4
1.0
6.864 0.000 0.000
0.000 6.794 0.000
-2.236 0.000 7.846
Ga Bi S
2 4 8
Cartesian
0.944 1.698 2.289 Ga
3.684 5.095 5.557 Ga
1.268 5.095 0.486 Bi
0.645 5.095 4.334 Bi
3.983 1.698 3.513 Bi
3.360 1.698 7.360 Bi
-0.447 3.447 1.783 S
-0.447 6.743 1.783 S
1.576 1.698 4.512 S
2.881 1.698 1.102 S
1.747 5.095 6.744 S
3.052 5.095 3.334 S
5.075 0.050 6.064 S
5.075 3.347 6.064 S
```

## Properties
DOS at the Fermi energy	2.76	states/eV/f.u.
SG	P2_1/m
mass density	5.59	Mg/m³

x:
# GaBi2S4

A relaxed structure of GaBi2S4 (PBE, Alexandria).

POSCAR file:
```
GaBi2S4
1.0
6.977 -4.031 0.000
6.977 4.031 0.000
-4.660 0.000 13.006
Ga Bi S
4 8 16
Cartesian
1.158 2.012 8.916 Ga
5.805 2.012 10.593 Ga
3.488 -2.012 2.413 Ga
8.135 -2.012 4.090 Ga
0.000 0.000 0.000 Bi
-2.330 0.000 6.503 Bi
3.488 2.016 0.000 Bi
5.811 2.021 3.252 Bi
1.158 -2.016 6.503 Bi
6.977 0.000 0.000 Bi
4.646 0.000 6.503 Bi
3.481 -2.021 9.755 Bi
0.027 0.054 4.858 S
3.428 2.017 4.856 S
1.155 2.015 11.321 S
-2.303 -0.054 11.361 S
2.292 0.047 8.150 S
5.808 2.015 8.188 S
4.622 -0.047 1.647 S
8.195 2.017 1.647 S
1.098 -2.017 11.359 S
4.671 0.047 11.359 S
3.485 -2.015 4.818 S
7.001 -0.047 4.856 S
11.596 0.054 1.645 S
8.138 -2.015 1.685 S
5.864 -2.017 8.150 S
9.266 -0.054 8.148 S
```

## Properties
DOS at the Fermi energy	1.26	states/eV/f.u.
SG	C2/c
mass density	5.59	Mg/m³

It is x that is most stable; the runner-up trails by 55 meV per atom.

w:
# Ga3BiS

A relaxed structure of Ga3BiS (PBE, Alexandria).

POSCAR file:
```
Ga3BiS
1.0
4.951 0.000 0.000
0.000 4.951 0.000
0.000 0.000 4.951
Ga Bi S
3 1 1
Cartesian
0.000 0.000 2.475 Ga
0.000 2.475 0.000 Ga
2.475 0.000 0.000 Ga
2.475 2.475 2.475 Bi
0.000 0.000 0.000 S
```

## Properties
DOS at the Fermi energy	2.29	states/eV/f.u.
SG	Pm-3m
mass density	6.16	Mg/m³

x:
# Ga3BiS

A relaxed structure of Ga3BiS (PBE, Alexandria).

POSCAR file:
```
Ga3BiS
1.0
5.543 0.000 0.000
0.000 5.543 0.000
0.000 0.000 5.543
Ga Bi S
3 1 1
Cartesian
0.000 0.000 2.772 Ga
0.000 2.772 0.000 Ga
2.772 0.000 0.000 Ga
0.000 0.000 0.000 Bi
2.772 2.772 2.772 S
```

## Properties
DOS at the Fermi energy	1.64	states/eV/f.u.
SG	Pm-3m
mass density	4.39	Mg/m³

It is w that is most stable; the runner-up trails by 490 meV per atom.

w:
# Ga2BiS2

A relaxed structure of Ga2BiS2 (PBE, Alexandria).

POSCAR file:
```
Ga2BiS2
1.0
-2.213 2.213 5.981
2.213 -2.213 5.981
2.213 2.213 -5.981
Ga Bi S
2 1 2
Cartesian
2.213 0.000 2.991 Ga
0.000 2.213 2.991 Ga
0.000 0.000 0.000 Bi
0.000 0.000 4.169 S
0.000 0.000 7.794 S
```

## Properties
DOS at the Fermi energy	3.78	states/eV/f.u.
SG	I4/mmm
mass density	5.85	Mg/m³

x:
# Ga2BiS2

A relaxed structure of Ga2BiS2 (PBE, Alexandria).

POSCAR file:
```
Ga2BiS2
1.0
7.953 0.000 0.000
0.000 7.953 0.000
0.000 0.000 3.711
Ga Bi S
4 2 4
Cartesian
0.991 2.986 0.000 Ga
2.986 6.962 0.000 Ga
4.967 0.991 0.000 Ga
6.962 4.967 0.000 Ga
0.000 0.000 1.855 Bi
3.976 3.976 1.855 Bi
1.664 5.641 1.855 S
2.312 1.664 1.855 S
5.641 6.288 1.855 S
6.288 2.312 1.855 S
```

## Properties
DOS at the Fermi energy	1.91	states/eV/f.u.
SG	P4/mbm
mass density	5.84	Mg/m³

It is x that is most stable; the runner-up trails by 182 meV per atom.

w:
# Ga2BiSb2

A relaxed structure of Ga2BiSb2 (PBE, Alexandria).

POSCAR file:
```
Ga2BiSb2
1.0
-2.055 2.055 7.771
2.055 -2.055 7.771
2.055 2.055 -7.771
Ga Bi Sb
2 1 2
Cartesian
2.055 0.000 3.885 Ga
0.000 2.055 3.885 Ga
0.000 0.000 0.000 Bi
0.000 0.000 5.977 Sb
0.000 0.000 9.565 Sb
```

## Properties
DOS at the Fermi energy	2.82	states/eV/f.u.
SG	I4/mmm
mass density	7.49	Mg/m³

x:
# Ga2BiSb2

A relaxed structure of Ga2BiSb2 (PBE, Alexandria).

POSCAR file:
```
Ga2BiSb2
1.0
8.194 0.000 0.000
0.000 8.194 0.000
0.000 0.000 3.706
Ga Bi Sb
4 2 4
Cartesian
1.043 3.054 0.000 Ga
3.054 7.151 0.000 Ga
5.140 1.043 0.000 Ga
7.151 5.140 0.000 Ga
0.000 0.000 0.000 Bi
4.097 4.097 0.000 Bi
1.382 5.479 1.853 Sb
2.715 1.382 1.853 Sb
5.479 6.811 1.853 Sb
6.811 2.715 1.853 Sb
```

## Properties
DOS at the Fermi energy	3.03	states/eV/f.u.
SG	P4/mbm
mass density	7.90	Mg/m³

It is w that is most stable; the runner-up trails by 47 meV per atom.